1.
The following is a DFT calculation (PBE-GGA) of crystalline In2GaHg at its relaxed geometry.

POSCAR file:
```
In2GaHg
1.0
-1.732 2.543 5.913
1.732 -2.543 5.913
1.732 2.543 -5.913
In Ga Hg
2 1 1
Cartesian
0.000 0.000 2.848
0.000 0.000 8.979
0.000 0.000 0.000
0.000 0.000 5.913
```

As for the total DFT energy (no corrections): -8.46 eV for the cell shown. The space group is Immm, No. 71.


2.
The following is a DFT calculation (PBE-GGA) of crystalline InGa2Hg at its relaxed geometry.

POSCAR file:
```
InGa2Hg
1.0
-3.973 3.973 3.009
3.973 -3.973 3.009
3.973 3.973 -3.009
In Ga Hg
2 4 2
Cartesian
0.000 0.000 0.000
0.000 3.973 1.504
1.987 2.057 -0.752
5.890 1.987 0.752
1.987 1.917 2.257
-1.917 1.987 3.761
3.973 0.000 1.504
0.000 0.000 3.009
```

As for the total DFT energy (no corrections): -17.43 eV for the cell shown. The space group is I-42d, No. 122. The value obtained for the energy above the lowest structure with this stoichiometry is 41 meV per atom.


3.
The following is a DFT calculation (PBE-GGA) of crystalline In2GaHg6 at its relaxed geometry.

POSCAR file:
```
In2GaHg6
1.0
6.104 0.000 0.000
0.000 7.812 0.000
-4.809 0.000 9.970
In Ga Hg
4 2 12
Cartesian
-0.063 0.578 1.626
-2.468 3.328 6.611
3.762 4.484 3.358
1.358 7.233 8.343
3.052 0.000 0.000
0.647 3.906 4.985
-1.480 1.663 4.095
-3.885 2.242 9.080
-2.663 5.141 9.489
-0.259 6.577 4.505
-1.292 0.421 7.145
1.112 3.485 2.160
0.182 4.327 7.809
2.587 7.391 2.825
1.553 1.235 5.465
3.958 2.671 0.480
5.179 5.569 0.890
2.775 6.148 5.875
```

As for the total DFT energy (no corrections): -20.05 eV for the cell shown. The space group is P2_1/c, No. 14. The value obtained for the energy above the lowest structure with this stoichiometry is 0 meV per atom.


4.
The following is a DFT calculation (PBE-GGA) of crystalline In3GaHg at its relaxed geometry.

POSCAR file:
```
In3GaHg
1.0
5.845 0.000 0.000
-2.902 5.787 0.000
-0.065 -3.453 7.717
In Ga Hg
6 2 2
Cartesian
0.000 0.000 0.000
-1.455 2.080 2.551
1.401 -1.786 5.221
2.923 0.000 0.000
1.477 4.121 2.496
4.333 0.255 5.166
0.032 2.896 0.001
2.846 -0.561 7.716
1.463 0.059 2.806
1.415 2.276 4.911
```

As for the total DFT energy (no corrections): -22.52 eV for the cell shown. The space group is P-1, No. 2. The value obtained for the energy above the lowest structure with this stoichiometry is 0 meV per atom.


5.
The following is a DFT calculation (PBE-GGA) of crystalline In4Ga3Hg2 at its relaxed geometry.

POSCAR file:
```
In4Ga3Hg2
1.0
5.878 0.000 0.000
-0.369 9.081 0.000
-0.381 -3.785 8.284
In Ga Hg
8 6 4
Cartesian
0.066 0.525 2.623
-0.070 -1.036 7.917
2.245 -2.306 5.932
2.120 3.139 6.714
3.007 2.158 1.570
2.883 7.602 2.351
5.198 6.333 0.367
5.061 4.771 5.661
0.263 6.489 3.265
1.100 8.946 0.090
1.937 5.039 1.007
3.191 0.258 7.277
4.027 -3.650 8.194
4.865 -1.193 5.018
-0.380 1.673 5.600
2.569 0.925 4.416
2.559 4.372 3.867
5.507 3.624 2.683
```

As for the total DFT energy (no corrections): -40.55 eV for the cell shown. The space group is P-1, No. 2.


6.
The following is a DFT calculation (PBE-GGA) of crystalline In5Ga2Hg2 at its relaxed geometry.

POSCAR file:
```
In5Ga2Hg2
1.0
-8.117 4.083 3.558
8.117 -4.083 3.558
8.117 4.083 -3.558
In Ga Hg
10 4 4
Cartesian
10.626 2.137 -0.547
5.608 -1.947 3.011
1.413 1.621 0.000
6.704 1.621 0.000
4.059 3.223 1.164
2.509 6.030 -0.547
-2.509 1.947 3.011
4.059 0.860 4.722
1.413 2.463 3.558
6.704 2.463 3.558
-1.281 3.858 1.339
1.281 -0.225 4.897
1.281 4.308 1.339
6.836 4.308 1.339
12.176 -0.145 1.156
4.059 0.145 1.156
0.000 0.000 2.051
8.117 0.000 2.051
```

As for the total DFT energy (no corrections): -39.74 eV for the cell shown. The space group is Ima2, No. 46. The value obtained for the energy above the lowest structure with this stoichiometry is 22 meV per atom.


7.
The following is a DFT calculation (PBE-GGA) of crystalline In2GaHg at its relaxed geometry.

POSCAR file:
```
In2GaHg
1.0
2.233 1.289 6.181
-2.233 1.289 6.181
0.000 -2.579 6.181
In Ga Hg
2 1 1
Cartesian
0.000 0.000 0.000
0.000 0.000 3.131
0.000 0.000 13.991
0.000 0.000 10.845
```

As for the total DFT energy (no corrections): -8.47 eV for the cell shown. The space group is R3m, No. 160.


8.
The following is a DFT calculation (PBE-GGA) of crystalline In8GaHg2 at its relaxed geometry.

POSCAR file:
```
In8GaHg2
1.0
9.043 -2.277 0.000
9.043 2.277 0.000
-2.128 0.000 6.962
In Ga Hg
8 1 2
Cartesian
0.195 0.000 1.700
1.079 0.000 4.835
4.573 0.000 4.075
7.316 0.000 0.304
8.643 0.000 6.659
11.386 0.000 2.888
14.880 0.000 2.127
15.764 0.000 5.262
7.979 0.000 3.481
3.727 0.000 0.982
12.232 0.000 5.981
```

As for the total DFT energy (no corrections): -25.27 eV for the cell shown. The space group is C2/m, No. 12. The value obtained for the energy above the lowest structure with this stoichiometry is 0 meV per atom.


9.
The following is a DFT calculation (PBE-GGA) of crystalline In9Ga2Hg4 at its relaxed geometry.

POSCAR file:
```
In9Ga2Hg4
1.0
7.201 0.000 0.000
2.571 7.988 0.000
1.452 0.528 13.710
In Ga Hg
18 4 8
Cartesian
0.579 0.097 1.720
1.007 0.260 5.096
2.430 2.943 10.416
2.859 1.991 7.275
2.660 2.265 3.210
3.956 2.141 13.136
3.998 4.470 5.322
3.833 4.484 1.177
5.054 5.308 10.281
6.171 3.208 3.429
7.392 4.032 12.533
7.226 4.045 8.388
7.268 6.375 0.574
8.565 6.251 10.500
8.366 6.525 6.436
8.795 5.573 3.294
10.218 8.255 8.614
10.646 8.418 11.991
3.310 5.169 12.604
3.016 4.964 8.153
8.208 3.551 5.557
7.914 3.347 1.107
6.154 7.126 12.751
5.460 6.543 6.993
6.323 8.111 9.601
5.439 6.346 3.130
5.786 2.169 10.581
4.902 0.405 4.109
5.765 1.973 6.717
5.071 1.389 0.960
```

As for the total DFT energy (no corrections): -62.87 eV for the cell shown. The space group is P-1, No. 2.


10.
The following is a DFT calculation (PBE-GGA) of crystalline In2GaHg4 at its relaxed geometry.

POSCAR file:
```
In2GaHg4
1.0
2.403 1.387 9.489
-2.403 1.387 9.489
0.000 -2.775 9.489
In Ga Hg
2 1 4
Cartesian
0.000 0.000 7.040
0.000 0.000 21.427
0.000 0.000 0.000
0.000 0.000 3.850
0.000 0.000 10.668
0.000 0.000 17.798
0.000 0.000 24.616
```

As for the total DFT energy (no corrections): -9.49 eV for the cell shown. The space group is R-3m, No. 166. The value obtained for the energy above the lowest structure with this stoichiometry is 0 meV per atom.


11.
The following is a DFT calculation (PBE-GGA) of crystalline In2GaHg at its relaxed geometry.

POSCAR file:
```
In2GaHg
1.0
1.625 0.938 11.135
-1.625 0.938 11.135
0.000 -1.877 11.135
In Ga Hg
2 1 1
Cartesian
0.000 0.000 2.833
0.000 0.000 30.573
0.000 0.000 0.000
0.000 0.000 16.703
```

As for the total DFT energy (no corrections): -8.44 eV for the cell shown. The space group is R-3m, No. 166.


12.
The following is a DFT calculation (PBE-GGA) of crystalline InGa3Hg2 at its relaxed geometry.

POSCAR file:
```
InGa3Hg2
1.0
4.304 0.000 0.000
-1.656 6.036 0.000
-1.799 -2.695 10.752
In Ga Hg
2 6 4
Cartesian
0.151 0.023 1.600
0.698 3.317 9.152
-1.368 3.886 4.727
-1.297 1.744 7.316
-0.015 0.589 4.641
0.863 2.752 6.110
2.146 1.597 3.435
2.217 -0.545 6.024
-1.559 1.288 10.216
0.234 -0.678 8.168
0.615 4.019 2.583
2.407 2.052 0.535
```

As for the total DFT energy (no corrections): -24.55 eV for the cell shown. The space group is P-1, No. 2.


| no. | density of states at the Fermi level (states/eV/f.u.) | E_form (meV per atom) |
| --- | --- | --- |
| 1 | 1.70 | 86 |
| 2 | 1.86 | 95 |
| 3 | 3.51 | 32 |
| 4 | 2.22 | 57 |
| 5 | 3.41 | 40 |
| 6 | 4.31 | 53 |
| 7 | 1.70 | 83 |
| 8 | 3.76 | 25 |
| 9 | 4.73 | 31 |
| 10 | 1.72 | 32 |
| 11 | 2.23 | 91 |
| 12 | 2.18 | 25 |